# 1
12
Lattice="2.806 -5.756 0.000 2.806 5.756 0.000 0.000 0.000 7.191" Properties=species:S:1:pos:R:3 comment="PmZnCo, optimized geometry, DFT PBE-GGA" space_group="Cmce, No. 64" e_form_kcal_per_mol_atoms=-3.34 de_polymorph_ev_per_atom=0.0677 pbc="T T T"
Pm 2.806 3.646 6.471
Pm 2.806 2.110 2.875
Pm 2.806 -2.110 4.316
Pm 2.806 -3.646 0.720
Zn 1.403 0.592 5.393
Zn 1.403 -0.592 1.798
Zn 4.209 0.592 5.393
Zn 4.209 -0.592 1.798
Co 2.806 4.683 3.901
Co 2.806 1.073 0.306
Co 2.806 -1.073 6.885
Co 2.806 -4.683 3.290

=====

# 2
12
Lattice="3.992 -6.932 0.000 3.992 6.932 0.000 -2.664 0.000 8.094" Properties=species:S:1:pos:R:3 comment="K3PaSb2Te6, optimized geometry, DFT PBE-GGA" space_group="C2/m, No. 12" raw_formation_energy_ev_per_atom=-0.644 pbc="T T T"
K 0.000 0.000 0.000
K 3.992 2.354 0.000
K 3.992 -2.354 0.000
Pa 2.660 0.000 4.047
Sb 2.660 4.633 4.047
Sb 2.660 -4.633 4.047
Te 1.342 2.290 2.391
Te 0.026 0.000 5.715
Te 1.342 -2.290 2.391
Te 3.978 2.290 5.703
Te 5.295 0.000 2.379
Te 3.978 -2.290 5.703

=====

# 3
11
Lattice="7.334 0.000 0.000 0.000 3.713 0.000 -0.580 0.000 9.444" Properties=species:S:1:pos:R:3 comment="Pm4Al5Pd2, optimized geometry, DFT PBE-GGA" space_group="P2/m, No. 10" e_form_kcal_per_mol_atoms=-11.45 pbc="T T T"
Pm 1.046 0.000 3.549
Pm 1.307 0.000 8.903
Pm 5.446 0.000 0.541
Pm 5.708 0.000 5.894
Al 1.095 1.856 6.261
Al 3.148 1.856 1.920
Al 3.377 1.856 4.722
Al 3.606 1.856 7.523
Al 5.659 1.856 3.182
Pd 0.420 1.856 1.372
Pd 6.334 1.856 8.072

=====

no.,E_tot (Ry/atom)
1,-0.3323
2,-0.2916
3,-0.3579